[1]
# Ni2AgPt, optimized geometry, DFT PBE
data_Ni2AgPt
_chemical_formula_sum 'Ni2 Ag1 Pt1'
_cell_length_a 2.735
_cell_length_b 2.735
_cell_length_c 7.431
_cell_angle_alpha 90.00
_cell_angle_beta 90.00
_cell_angle_gamma 90.00
_symmetry_space_group_name_H-M 'P 1'
_symmetry_Int_Tables_number 1
loop_
_symmetry_equiv_pos_as_xyz
'x,y,z'
loop_
_atom_site_label
_atom_site_fract_x
_atom_site_fract_y
_atom_site_fract_z
Ag1 0.500 0.500 0.767
Ni1 0.000 0.000 0.031
Ni2 0.500 0.500 0.232
Pt1 0.000 0.000 0.470
# * crystal system: tetragonal
# * energy relative to the elements: 0.07 eV/atom
# * total DFT energy (no corrections): -5.04 eV per atom

***

[2]
# NiAgPt2, optimized geometry, DFT PBE
data_NiAgPt2
_chemical_formula_sum 'Ni1 Ag1 Pt2'
_cell_length_a 9.191
_cell_length_b 9.191
_cell_length_c 9.191
_cell_angle_alpha 17.37
_cell_angle_beta 17.37
_cell_angle_gamma 17.37
_symmetry_space_group_name_H-M 'P 1'
_symmetry_Int_Tables_number 1
loop_
_symmetry_equiv_pos_as_xyz
'x,y,z'
loop_
_atom_site_label
_atom_site_fract_x
_atom_site_fract_y
_atom_site_fract_z
Pt1 0.251 0.251 0.251
Pt2 0.006 0.006 0.006
Ni1 0.747 0.747 0.747
Ag1 0.496 0.496 0.496
# * crystal system: trigonal
# * energy relative to the elements: 0.02 eV/atom
# * total DFT energy (no corrections): -5.15 eV per atom

***

[3]
# NiAgPt2, optimized geometry, DFT PBE
data_NiAgPt2
_chemical_formula_sum 'Ni1 Ag1 Pt2'
_cell_length_a 4.619
_cell_length_b 2.736
_cell_length_c 4.841
_cell_angle_alpha 87.46
_cell_angle_beta 90.00
_cell_angle_gamma 90.00
_symmetry_space_group_name_H-M 'P 1'
_symmetry_Int_Tables_number 1
loop_
_symmetry_equiv_pos_as_xyz
'x,y,z'
loop_
_atom_site_label
_atom_site_fract_x
_atom_site_fract_y
_atom_site_fract_z
Pt1 0.000 0.975 0.991
Pt2 0.000 0.525 0.509
Ni1 0.500 0.750 0.750
Ag1 0.500 0.250 0.250
# * crystal system: monoclinic
# * energy relative to the elements: 0.08 eV/atom
# * total DFT energy (no corrections): -5.10 eV per atom

***

[4]
# NiAgPt2, optimized geometry, DFT PBE
data_NiAgPt2
_chemical_formula_sum 'Ni1 Ag1 Pt2'
_cell_length_a 4.425
_cell_length_b 4.425
_cell_length_c 4.425
_cell_angle_alpha 60.00
_cell_angle_beta 60.00
_cell_angle_gamma 60.00
_symmetry_space_group_name_H-M 'P 1'
_symmetry_Int_Tables_number 1
loop_
_symmetry_equiv_pos_as_xyz
'x,y,z'
loop_
_atom_site_label
_atom_site_fract_x
_atom_site_fract_y
_atom_site_fract_z
Ag1 0.500 0.500 0.500
Pt1 0.250 0.250 0.250
Pt2 0.000 0.000 0.000
Ni1 0.750 0.750 0.750
# * crystal system: cubic
# * energy relative to the elements: 0.18 eV/atom
# * total DFT energy (no corrections): -5.00 eV per atom

***

[5]
# NiAg4Pt, optimized geometry, DFT PBE
data_NiAg4Pt
_chemical_formula_sum 'Ni1 Ag4 Pt1'
_cell_length_a 5.309
_cell_length_b 5.309
_cell_length_c 5.309
_cell_angle_alpha 60.00
_cell_angle_beta 60.00
_cell_angle_gamma 60.00
_symmetry_space_group_name_H-M 'P 1'
_symmetry_Int_Tables_number 1
loop_
_symmetry_equiv_pos_as_xyz
'x,y,z'
loop_
_atom_site_label
_atom_site_fract_x
_atom_site_fract_y
_atom_site_fract_z
Ag1 0.875 0.375 0.375
Ag2 0.375 0.375 0.875
Ag3 0.375 0.375 0.375
Ag4 0.375 0.875 0.375
Ni1 0.750 0.750 0.750
Pt1 0.000 0.000 0.000
# * crystal system: cubic
# * energy relative to the elements: 0.48 eV/atom
# * total DFT energy (no corrections): -3.39 eV per atom

***

[6]
# NiAgPt2, optimized geometry, DFT PBE
data_NiAgPt2
_chemical_formula_sum 'Ni1 Ag1 Pt2'
_cell_length_a 2.774
_cell_length_b 2.774
_cell_length_c 7.833
_cell_angle_alpha 90.00
_cell_angle_beta 90.00
_cell_angle_gamma 89.99
_symmetry_space_group_name_H-M 'P 1'
_symmetry_Int_Tables_number 1
loop_
_symmetry_equiv_pos_as_xyz
'x,y,z'
loop_
_atom_site_label
_atom_site_fract_x
_atom_site_fract_y
_atom_site_fract_z
Pt1 0.000 0.000 0.980
Pt2 0.500 0.500 0.241
Ag1 0.000 0.000 0.516
Ni1 0.500 0.500 0.763
# * crystal system: tetragonal
# * energy relative to the elements: 0.03 eV/atom
# * total DFT energy (no corrections): -5.15 eV per atom